Record 1
# Pm2NiBr2

A geometry-optimized Pm2NiBr2 structure (PBE, the Alexandria database).

Cell: 11.271 11.271 11.271 Å, 20.49 20.49 20.49°
Positions (direct):
Pm 0.117 0.117 0.117
Pm 0.883 0.883 0.883
Ni 0.500 0.500 0.500
Br 0.276 0.276 0.276
Br 0.724 0.724 0.724

Calculated values
- VASP energy: -4.844 eV/atom
- D(E_F): 0.34 states/eV per atom
- Formation energy without anion corrections: -1.12 eV per atom

=====

Record 2
# Li2OsW

A geometry-optimized Li2OsW structure (PBE, the Alexandria database).

Cell: 5.349 5.349 5.349 Å, 147.10 134.33 57.42°
Positions (direct):
Li 0.242 0.242 0.000
Li 0.758 0.758 0.000
Os 0.000 0.500 0.500
W 0.500 0.000 0.500

Calculated values
- VASP energy: -6.705 eV/atom
- D(E_F): 0.63 states/eV per atom
- ΔE to the lowest computed polymorph: 0.439 eV per formula unit
- Energy relative to the elements: 1.2 eV per formula unit

=====

- What is the formula in the second record?
  Li2OsW

=====

- Which value of VASP energy does entry 2 give?
  -6.705 eV/atom

=====

- The lowest VASP energy belongs to which entry?
  Li2OsW

=====

Copy entry 1 word for word.
# Pm2NiBr2

A geometry-optimized Pm2NiBr2 structure (PBE, the Alexandria database).

Cell: 11.271 11.271 11.271 Å, 20.49 20.49 20.49°
Positions (direct):
Pm 0.117 0.117 0.117
Pm 0.883 0.883 0.883
Ni 0.500 0.500 0.500
Br 0.276 0.276 0.276
Br 0.724 0.724 0.724

Calculated values
- VASP energy: -4.844 eV/atom
- D(E_F): 0.34 states/eV per atom
- Formation energy without anion corrections: -1.12 eV per atom